[1]
Below is a geometry-optimized SrPrZn2Pd2 structure, with properties calculated at the GGA-PBE level.

Total magnetization (μB/cell): 0.000
Energy of formation from the pure elements (meV/atom): -609.1
Theoretical density (Mg/m³): 6.7

Unit cell a=4.4628 b=4.4628 c=8.1723 alpha=90.00 beta=90.00 gamma=120.00
Space group P-3m1 (No. 164)
Unique sites:
Sr1 0.0000 0.0000 0.0000 (multiplicity 1)
Pr1 0.0000 0.0000 0.5000 (multiplicity 1)
Zn1 0.3333 0.6667 0.2662 (multiplicity 2)
Pd1 0.3333 0.6667 0.7261 (multiplicity 2)

=====

[2]
Below is a geometry-optimized UOs structure, with properties calculated at the GGA-PBE level.

Total magnetization (μB/cell): 0.004
Energy of formation from the pure elements (meV/atom): 8.1
Theoretical density (Mg/m³): 19.5

Unit cell a=3.0035 b=3.0035 c=4.0502 alpha=90.00 beta=90.21 gamma=90.00
Space group P2/m (No. 10)
Unique sites:
U1 0.0000 0.0000 0.0000 (multiplicity 1)
Os1 0.5000 0.5000 0.5000 (multiplicity 1)

=====

[3]
Below is a geometry-optimized NaSr2MgH structure, with properties calculated at the GGA-PBE level.

Total magnetization (μB/cell): 0.000
Distance to the lowest polymorph of the same formula (meV per atom): 0
Theoretical density (Mg/m³): 2.5

Unit cell a=5.5415 b=5.5415 c=4.8725 alpha=90.00 beta=90.00 gamma=90.00
Space group P4/mmm (No. 123)
Unique sites:
Na1 0.0000 0.0000 0.0000 (multiplicity 1)
Sr1 0.0000 0.5000 0.5000 (multiplicity 2)
Mg1 0.5000 0.5000 0.0000 (multiplicity 1)
H1 0.0000 0.0000 0.5000 (multiplicity 1)

=====

[4]
Below is a geometry-optimized Ti4Ni2C structure, with properties calculated at the GGA-PBE level.

Total magnetization (μB/cell): 0.000
Distance to the lowest polymorph of the same formula (meV per atom): 195
Energy of formation from the pure elements (meV/atom): -325.8
Theoretical density (Mg/m³): 5.3

Unit cell a=5.9089 b=10.7007 c=3.1606 alpha=90.00 beta=90.00 gamma=90.00
Space group Pbam (No. 55)
Unique sites:
Ti1 0.1182 0.1853 0.0000 (multiplicity 4)
Ti2 0.2296 0.9553 0.5000 (multiplicity 4)
Ni1 0.0725 0.6773 0.5000 (multiplicity 4)
C1 0.0000 0.0000 0.0000 (multiplicity 2)

=====

[5]
Below is a geometry-optimized CsK2Na2 structure, with properties calculated at the GGA-PBE level.

Total magnetization (μB/cell): 0.000
Distance to the lowest polymorph of the same formula (meV per atom): 5
Energy of formation from the pure elements (meV/atom): 29.3
Theoretical density (Mg/m³): 1.4

Unit cell a=11.8329 b=11.8329 c=4.5005 alpha=90.00 beta=90.00 gamma=90.00
Space group P4/mbm (No. 127)
Unique sites:
Cs1 0.0000 0.0000 0.0000 (multiplicity 2)
K1 0.1286 0.3714 0.0000 (multiplicity 4)
Na1 0.1684 0.6684 0.5000 (multiplicity 4)

=====

[6]
Below is a geometry-optimized Pm2Tm3Al3 structure, with properties calculated at the GGA-PBE level.

Total magnetization (μB/cell): 0.002
Distance to the lowest polymorph of the same formula (meV per atom): 9
Energy of formation from the pure elements (meV/atom): -259.8
Theoretical density (Mg/m³): 7.2

Unit cell a=4.7844 b=4.8008 c=8.8683 alpha=90.00 beta=90.00 gamma=90.00
Space group Pmmm (No. 47)
Unique sites:
Pm1 0.0000 0.0000 0.2360 (multiplicity 2)
Tm1 0.5000 0.0000 0.5000 (multiplicity 1)
Tm2 0.5000 0.5000 0.2220 (multiplicity 2)
Al1 0.0000 0.5000 0.0000 (multiplicity 1)
Al2 0.0000 0.5000 0.5000 (multiplicity 1)
Al3 0.5000 0.0000 0.0000 (multiplicity 1)

=====

[7]
Below is a geometry-optimized Th2PRh3 structure, with properties calculated at the GGA-PBE level.

Total magnetization (μB/cell): 0.000
Energy of formation from the pure elements (meV/atom): -975.6
Theoretical density (Mg/m³): 10.8

Unit cell a=7.7687 b=8.4992 c=14.9092 alpha=90.00 beta=90.00 gamma=90.00
Space group Fmmm (No. 69)
Unique sites:
Th1 0.2494 0.0000 0.0000 (multiplicity 8)
Th2 0.2500 0.2500 0.2500 (multiplicity 8)
P1 0.0000 0.0000 0.3330 (multiplicity 8)
Rh1 0.0000 0.0000 0.1767 (multiplicity 8)
Rh2 0.0000 0.2361 0.4125 (multiplicity 16)

=====

[8]
Below is a geometry-optimized Nd4YHo structure, with properties calculated at the GGA-PBE level.

Total magnetization (μB/cell): 0.001
Distance to the lowest polymorph of the same formula (meV per atom): 606
Energy of formation from the pure elements (meV/atom): 618.7
Theoretical density (Mg/m³): 5.7

Unit cell a=11.7526 b=11.7774 c=3.4933 alpha=90.00 beta=90.00 gamma=90.00
Space group Cmmm (No. 65)
Unique sites:
Nd1 0.0000 0.2408 0.0000 (multiplicity 4)
Nd2 0.2385 0.5000 0.5000 (multiplicity 4)
Y1 0.0000 0.0000 0.5000 (multiplicity 2)
Ho1 0.0000 0.5000 0.0000 (multiplicity 2)